A relaxed structure of Ac3TeSe2, computed with PBE-GGA.

Cell: 6.352 9.496 9.496 Å, 121.91 90.00 90.00°
Atoms (fractional coordinates):
1 Ac 0.993 0.810 0.500
2 Ac 0.493 0.500 0.190
3 Ac 0.993 0.500 0.810
4 Ac 0.493 0.190 0.500
5 Ac 0.493 0.746 0.746
6 Ac 0.993 0.254 0.254
7 Te 0.993 0.876 0.876
8 Te 0.493 0.124 0.124
9 Se 0.493 0.858 0.493
10 Se 0.993 0.507 0.142
11 Se 0.493 0.493 0.858
12 Se 0.993 0.142 0.507

ΔE_f (raw) ... -9.1 eV/f.u.
Space group ... Cmcm
Offset from the most stable computed form ... 0.000 eV/atom
DFT total energy ... -5.25 eV/atom